# Sm8Te2Pt3

A relaxed Sm8Te2Pt3 crystal (PBE, Alexandria).

Results
For the calculated volume, the calculation gives 449 Å³/cell. The energy relative to the elements, uncorrected comes out at -11.20 eV/f.u. For the spin magnetization, the calculation gives 0.000 μB per atom.

abc: 8.952 8.952 7.145
angles: 104.96 104.96 55.04
Element x y z (fractional)
Sm 0.095 0.095 0.380
Sm 0.148 0.643 0.101
Sm 0.357 0.852 0.899
Sm 0.401 0.401 0.597
Sm 0.599 0.599 0.403
Sm 0.643 0.148 0.101
Sm 0.852 0.357 0.899
Sm 0.905 0.905 0.620
Te 0.247 0.247 0.160
Te 0.753 0.753 0.840
Pt 0.245 0.755 0.500
Pt 0.500 0.500 0.000
Pt 0.755 0.245 0.500